(1)
# RbNb2PSe10 GGA-PBEsol optimized geometry
# Formation energy without anion corrections   -0.576 eV per atom
# E   -0.1969 hartree per atom
data_RbNb2PSe10
_symmetry_space_group_name_H-M 'P 1'
_symmetry_Int_Tables_number 1
_cell_length_a 7.3943
_cell_length_b 7.7690
_cell_length_c 13.4279
_cell_angle_alpha 90.00
_cell_angle_beta 105.18
_cell_angle_gamma 90.00
loop_
_symmetry_equiv_pos_as_xyz
'x,y,z'
loop_
_atom_site_label
_atom_site_fract_x
_atom_site_fract_y
_atom_site_fract_z
Rb1 0.8847 0.5165 0.6996
Rb2 0.3847 0.4835 0.1996
Nb1 0.3995 0.9378 0.6678
Nb2 0.8995 0.0622 0.1678
Nb3 0.7008 0.9350 0.9600
Nb4 0.2008 0.0650 0.4600
P1 0.4397 0.5816 0.8377
P2 0.9397 0.4184 0.3377
Se1 0.4954 0.8571 0.4993
Se2 0.9954 0.1429 0.9993
Se3 0.0816 0.8315 0.3095
Se4 0.5816 0.1685 0.8095
Se5 0.7361 0.5941 0.9305
Se6 0.2361 0.4059 0.4305
Se7 0.3362 0.8481 0.8566
Se8 0.8362 0.1519 0.3566
Se9 0.7685 0.9401 0.7735
Se10 0.2685 0.0599 0.2735
Se11 0.0361 0.8806 0.5724
Se12 0.5361 0.1194 0.0724
Se13 0.3996 0.5819 0.6673
Se14 0.8996 0.4181 0.1673
Se15 0.2901 0.3730 0.8884
Se16 0.7901 0.6270 0.3884
Se17 0.6235 0.8441 0.1373
Se18 0.1235 0.1559 0.6373
Se19 0.0484 0.8595 0.0515
Se20 0.5484 0.1405 0.5515

(2)
# NbPRh GGA-PBEsol optimized geometry
# Formation energy   -968 meV/atom
# E   -0.3388 hartree per atom
data_NbPRh
_symmetry_space_group_name_H-M 'P 1'
_symmetry_Int_Tables_number 1
_cell_length_a 3.7516
_cell_length_b 6.2707
_cell_length_c 7.1266
_cell_angle_alpha 90.00
_cell_angle_beta 90.00
_cell_angle_gamma 90.00
loop_
_symmetry_equiv_pos_as_xyz
'x,y,z'
loop_
_atom_site_label
_atom_site_fract_x
_atom_site_fract_y
_atom_site_fract_z
P1 0.7500 0.2362 0.6245
P2 0.7500 0.7362 0.8755
P3 0.2500 0.7638 0.3755
P4 0.2500 0.2638 0.1245
Nb1 0.7500 0.4696 0.3311
Nb2 0.7500 0.9696 0.1689
Nb3 0.2500 0.0304 0.8311
Nb4 0.2500 0.5304 0.6689
Rh1 0.2500 0.6465 0.0615
Rh2 0.7500 0.8535 0.5615
Rh3 0.2500 0.1465 0.4385
Rh4 0.7500 0.3535 0.9385

(3)
# Zr2NbPRh GGA-PBEsol optimized geometry
# Formation energy   1018 meV/atom
# E   -0.2781 hartree per atom
data_Zr2NbPRh
_symmetry_space_group_name_H-M 'P 1'
_symmetry_Int_Tables_number 1
_cell_length_a 4.4898
_cell_length_b 5.0479
_cell_length_c 5.0479
_cell_angle_alpha 90.00
_cell_angle_beta 90.00
_cell_angle_gamma 90.00
loop_
_symmetry_equiv_pos_as_xyz
'x,y,z'
loop_
_atom_site_label
_atom_site_fract_x
_atom_site_fract_y
_atom_site_fract_z
P1 0.5000 0.5000 0.5000
Nb1 0.0000 0.0000 0.0000
Rh1 0.5000 0.0000 0.0000
Zr1 0.0000 0.0000 0.5000
Zr2 0.0000 0.5000 0.0000

(4)
# NbPRu GGA-PBEsol optimized geometry
# Formation energy   -904 meV/atom
# E   -0.3613 hartree per atom
data_NbPRu
_symmetry_space_group_name_H-M 'P 1'
_symmetry_Int_Tables_number 1
_cell_length_a 3.7074
_cell_length_b 6.3035
_cell_length_c 7.1435
_cell_angle_alpha 90.00
_cell_angle_beta 90.00
_cell_angle_gamma 90.00
loop_
_symmetry_equiv_pos_as_xyz
'x,y,z'
loop_
_atom_site_label
_atom_site_fract_x
_atom_site_fract_y
_atom_site_fract_z
Ru1 0.7500 0.6448 0.9382
Ru2 0.7500 0.1448 0.5618
Ru3 0.2500 0.8552 0.4382
Ru4 0.2500 0.3552 0.0618
Nb1 0.2500 0.4755 0.6724
Nb2 0.7500 0.0245 0.1724
Nb3 0.2500 0.9755 0.8276
Nb4 0.7500 0.5245 0.3276
P1 0.7500 0.2699 0.8757
P2 0.7500 0.7699 0.6243
P3 0.2500 0.7301 0.1243
P4 0.2500 0.2301 0.3757

(5)
# NbP2RuW GGA-PBEsol optimized geometry
# Formation energy   1332 meV/atom
# E   -0.2920 hartree per atom
data_NbP2RuW
_symmetry_space_group_name_H-M 'P 1'
_symmetry_Int_Tables_number 1
_cell_length_a 4.3719
_cell_length_b 4.3719
_cell_length_c 4.8197
_cell_angle_alpha 90.00
_cell_angle_beta 90.00
_cell_angle_gamma 90.00
loop_
_symmetry_equiv_pos_as_xyz
'x,y,z'
loop_
_atom_site_label
_atom_site_fract_x
_atom_site_fract_y
_atom_site_fract_z
Ru1 0.0000 0.0000 0.0000
Nb1 0.0000 0.0000 0.5000
W1 0.5000 0.5000 0.5000
P1 0.0000 0.5000 0.0000
P2 0.5000 0.0000 0.0000

(6)
# NbP2S2 GGA-PBEsol optimized geometry
# Formation energy without anion corrections   0.672 eV per atom
# E   -0.2044 hartree per atom
data_NbP2S2
_symmetry_space_group_name_H-M 'P 1'
_symmetry_Int_Tables_number 1
_cell_length_a 4.4133
_cell_length_b 4.3000
_cell_length_c 4.3000
_cell_angle_alpha 90.00
_cell_angle_beta 90.00
_cell_angle_gamma 90.00
loop_
_symmetry_equiv_pos_as_xyz
'x,y,z'
loop_
_atom_site_label
_atom_site_fract_x
_atom_site_fract_y
_atom_site_fract_z
P1 0.0000 0.0000 0.5000
P2 0.0000 0.5000 0.0000
Nb1 0.5000 0.5000 0.5000
S1 0.0000 0.0000 0.0000
S2 0.5000 0.0000 0.0000

(7)
# ScNbPS2 GGA-PBEsol optimized geometry
# Formation energy without anion corrections   -0.414 eV per atom
# E   -0.2503 hartree per atom
data_ScNbPS2
_symmetry_space_group_name_H-M 'P 1'
_symmetry_Int_Tables_number 1
_cell_length_a 4.6596
_cell_length_b 4.6596
_cell_length_c 4.8689
_cell_angle_alpha 90.00
_cell_angle_beta 90.00
_cell_angle_gamma 90.00
loop_
_symmetry_equiv_pos_as_xyz
'x,y,z'
loop_
_atom_site_label
_atom_site_fract_x
_atom_site_fract_y
_atom_site_fract_z
Sc1 0.5000 0.5000 0.5000
P1 0.0000 0.0000 0.5000
Nb1 0.0000 0.0000 0.0000
S1 0.0000 0.5000 0.0000
S2 0.5000 0.0000 0.0000

(8)
# SrNbP2S GGA-PBEsol optimized geometry
# Formation energy without anion corrections   -0.699 eV per atom
# E   -0.2361 hartree per atom
data_SrNbP2S
_symmetry_space_group_name_H-M 'P 1'
_symmetry_Int_Tables_number 1
_cell_length_a 4.8163
_cell_length_b 4.8163
_cell_length_c 4.8530
_cell_angle_alpha 90.00
_cell_angle_beta 90.00
_cell_angle_gamma 90.00
loop_
_symmetry_equiv_pos_as_xyz
'x,y,z'
loop_
_atom_site_label
_atom_site_fract_x
_atom_site_fract_y
_atom_site_fract_z
Sr1 0.5000 0.5000 0.5000
Nb1 0.0000 0.0000 0.0000
S1 0.0000 0.0000 0.5000
P1 0.0000 0.5000 0.0000
P2 0.5000 0.0000 0.0000